Record 1
Below is a relaxed Sm2Be4ZnPt3 crystal, with properties calculated at the PBE-GGA level.

a = 4.0409 Å, b = 4.0409 Å, c = 9.6991 Å
α = 90.00°, β = 90.00°, γ = 90.00°
Last column: nearest neighbours and their distance in Å.
Space group P-4m2 (No. 115)
Inequivalent atoms, fractional coordinates:
1 Sm 0.0000 0.5000 0.2478 x2  8 Be 3.09-3.14, 6 Pt 3.11-3.17, 2 Zn 3.17
2 Be 0.0000 0.0000 0.0000 x1  4 Pt 2.34
3 Be 0.0000 0.5000 0.6314 x2  3 Pt 2.39-2.40, 2 Zn 2.39
4 Be 0.5000 0.5000 0.0000 x1  4 Pt 2.34
5 Zn 0.0000 0.0000 0.5000 x1  4 Be 2.39
6 Pt 0.0000 0.5000 0.8791 x2  5 Be 2.34-2.40
7 Pt 0.5000 0.5000 0.5000 x1  4 Be 2.39

Calculated values
Fermi-level density of states (states/eV per cell): 6.0
Total DFT energy (no corrections) (eV/f.u.): -50.68

***

Record 2
Below is a relaxed BeSnPt crystal, with properties calculated at the PBE-GGA level.

a = 6.1658 Å, b = 3.6319 Å, c = 9.8377 Å
α = 90.00°, β = 102.60°, γ = 90.00°
Last column: nearest neighbours and their distance in Å.
Space group C2/m (No. 12)
Inequivalent atoms, fractional coordinates:
1 Be 0.1903 0.0000 0.0663 x4  4 Pt 2.31-2.32, 3 Be 2.42-2.44
2 Sn 0.1209 0.5000 0.3654 x4  3 Pt 2.77
3 Pt 0.1091 0.0000 0.8260 x4  4 Be 2.31-2.32

Calculated values
Fermi-level density of states (states/eV per cell): 5.8
Total DFT energy (no corrections) (eV/f.u.): -14.75

***

- Among the records above, which one has the lowest total DFT energy (no corrections)?
  Sm2Be4ZnPt3

***

Repeat the first record exactly.
Below is a relaxed Sm2Be4ZnPt3 crystal, with properties calculated at the PBE-GGA level.

a = 4.0409 Å, b = 4.0409 Å, c = 9.6991 Å
α = 90.00°, β = 90.00°, γ = 90.00°
Last column: nearest neighbours and their distance in Å.
Space group P-4m2 (No. 115)
Inequivalent atoms, fractional coordinates:
1 Sm 0.0000 0.5000 0.2478 x2  8 Be 3.09-3.14, 6 Pt 3.11-3.17, 2 Zn 3.17
2 Be 0.0000 0.0000 0.0000 x1  4 Pt 2.34
3 Be 0.0000 0.5000 0.6314 x2  3 Pt 2.39-2.40, 2 Zn 2.39
4 Be 0.5000 0.5000 0.0000 x1  4 Pt 2.34
5 Zn 0.0000 0.0000 0.5000 x1  4 Be 2.39
6 Pt 0.0000 0.5000 0.8791 x2  5 Be 2.34-2.40
7 Pt 0.5000 0.5000 0.5000 x1  4 Be 2.39

Calculated values
Fermi-level density of states (states/eV per cell): 6.0
Total DFT energy (no corrections) (eV/f.u.): -50.68